# GGA+U MoRh2ClF, relaxed
data_MoRh2ClF
_chemical_formula_sum 'Mo1 Rh2 Cl1 F1'
_cell_length_a 4.075
_cell_length_b 4.075
_cell_length_c 5.343
_cell_angle_alpha 90.00
_cell_angle_beta 90.00
_cell_angle_gamma 90.00
_space_group_name_H-M_alt 'P 4/m m m'
_space_group_IT_number 123
_space_group_name_Hall '-P 4 2'
loop_
_atom_site_label
_atom_site_fract_x
_atom_site_fract_y
_atom_site_fract_z
Mo1 0.000 0.000 0.000
Rh1 0.000 0.500 0.500
Cl1 0.500 0.500 0.000
F1 0.500 0.500 0.500
# - Size of the total moment: 3.37 Bohr magnetons per cell
# - Energy above the most stable polymorph in this dataset: 0 meV per atom